Record 1
DFT (PBE-GGA) results for a relaxed YScZnFe2 crystal.

The structure in CIF format:
```
data_YScZnFe2
_cell_length_a 4.5256
_cell_length_b 4.5256
_cell_length_c 4.9039
_cell_angle_alpha 90.00
_cell_angle_beta 90.00
_cell_angle_gamma 90.00
_symmetry_space_group_name_H-M 'P 4/m m m'
_symmetry_Int_Tables_number 123
_symmetry_space_group_name_Hall '-P 4 2'
loop_
_atom_site_label
_atom_site_type_symbol
_atom_site_fract_x
_atom_site_fract_y
_atom_site_fract_z
Y1 Y 0.0000 0.0000 0.0000
Sc1 Sc 0.5000 0.5000 0.0000
Zn1 Zn 0.0000 0.0000 0.5000
Fe1 Fe 0.0000 0.5000 0.5000
```

Values from the calculation:
total magnetic moment: 0.19 μB/cell

=====

Record 2
DFT (PBE-GGA) results for a relaxed YZr2ScFe crystal.

The structure in CIF format:
```
data_YZr2ScFe
_cell_length_a 4.9049
_cell_length_b 4.9049
_cell_length_c 4.9901
_cell_angle_alpha 90.00
_cell_angle_beta 90.00
_cell_angle_gamma 90.00
_symmetry_space_group_name_H-M 'P 4/m m m'
_symmetry_Int_Tables_number 123
_symmetry_space_group_name_Hall '-P 4 2'
loop_
_atom_site_label
_atom_site_type_symbol
_atom_site_fract_x
_atom_site_fract_y
_atom_site_fract_z
Y1 Y 0.0000 0.0000 0.0000
Zr1 Zr 0.0000 0.5000 0.5000
Sc1 Sc 0.5000 0.5000 0.0000
Fe1 Fe 0.5000 0.5000 0.5000
```

Values from the calculation:
total magnetic moment: 0.00 μB/cell

=====

Record 3
DFT (PBE-GGA) results for a relaxed Sc8ZnFe2 crystal.

The structure in CIF format:
```
data_Sc8ZnFe2
_cell_length_a 7.9123
_cell_length_b 14.4081
_cell_length_c 4.8339
_cell_angle_alpha 90.00
_cell_angle_beta 127.62
_cell_angle_gamma 90.00
_symmetry_space_group_name_H-M 'C 1 m 1'
_symmetry_Int_Tables_number 8
_symmetry_space_group_name_Hall 'C -2y'
loop_
_atom_site_label
_atom_site_type_symbol
_atom_site_fract_x
_atom_site_fract_y
_atom_site_fract_z
Sc1 Sc 0.0000 0.0000 0.0000
Sc2 Sc 0.0884 0.1633 0.5883
Sc3 Sc 0.1200 0.2886 0.1197
Sc4 Sc 0.2205 0.5000 0.2212
Sc5 Sc 0.4521 0.1122 0.4521
Zn1 Zn 0.2975 0.0000 0.7977
Fe1 Fe 0.3170 0.3312 0.8157
```

Values from the calculation:
total magnetic moment: 0.00 μB/cell

=====

Record 4
DFT (PBE-GGA) results for a relaxed Sc3ZnFe crystal.

The structure in CIF format:
```
data_Sc3ZnFe
_cell_length_a 4.7872
_cell_length_b 4.7872
_cell_length_c 4.7872
_cell_angle_alpha 90.00
_cell_angle_beta 90.00
_cell_angle_gamma 90.00
_symmetry_space_group_name_H-M 'P m -3 m'
_symmetry_Int_Tables_number 221
_symmetry_space_group_name_Hall '-P 4 2 3'
loop_
_atom_site_label
_atom_site_type_symbol
_atom_site_fract_x
_atom_site_fract_y
_atom_site_fract_z
Sc1 Sc 0.0000 0.0000 0.5000
Zn1 Zn 0.5000 0.5000 0.5000
Fe1 Fe 0.0000 0.0000 0.0000
```

Values from the calculation:
total magnetic moment: 0.00 μB/cell

=====

Record 5
DFT (PBE-GGA) results for a relaxed ScZn4Fe crystal.

The structure in CIF format:
```
data_ScZn4Fe
_cell_length_a 7.0842
_cell_length_b 7.0842
_cell_length_c 7.0842
_cell_angle_alpha 90.00
_cell_angle_beta 90.00
_cell_angle_gamma 90.00
_symmetry_space_group_name_H-M 'F -4 3 m'
_symmetry_Int_Tables_number 216
_symmetry_space_group_name_Hall 'F -4 2 3'
loop_
_atom_site_label
_atom_site_type_symbol
_atom_site_fract_x
_atom_site_fract_y
_atom_site_fract_z
Sc1 Sc 0.0000 0.0000 0.0000
Zn1 Zn 0.1242 0.1242 0.6242
Fe1 Fe 0.2500 0.2500 0.2500
```

Values from the calculation:
total magnetic moment: 4.04 μB/cell

=====

Record 6
DFT (PBE-GGA) results for a relaxed Sc5Zn4Fe crystal.

The structure in CIF format:
```
data_Sc5Zn4Fe
_cell_length_a 3.2689
_cell_length_b 3.2689
_cell_length_c 16.8754
_cell_angle_alpha 90.00
_cell_angle_beta 90.00
_cell_angle_gamma 90.00
_symmetry_space_group_name_H-M 'P 4/m m m'
_symmetry_Int_Tables_number 123
_symmetry_space_group_name_Hall '-P 4 2'
loop_
_atom_site_label
_atom_site_type_symbol
_atom_site_fract_x
_atom_site_fract_y
_atom_site_fract_z
Sc1 Sc 0.0000 0.0000 0.0000
Sc2 Sc 0.0000 0.0000 0.2035
Sc3 Sc 0.0000 0.0000 0.4131
Zn1 Zn 0.5000 0.5000 0.1013
Zn2 Zn 0.5000 0.5000 0.3071
Fe1 Fe 0.5000 0.5000 0.5000
```

Values from the calculation:
total magnetic moment: 0.00 μB/cell

=====

| no. | VASP energy (eV per atom) |
| --- | --- |
| 1 | -5.2189 |
| 2 | -7.5749 |
| 3 | -6.3879 |
| 4 | -5.6783 |
| 5 | -3.4460 |
| 6 | -4.8440 |